10
Lattice="-4.4884 4.4884 2.8403 4.4884 -4.4884 2.8403 4.4884 4.4884 -2.8403" Properties=species:S:1:pos:R:3 comment="GGA-PBE HoTh4S5, optimized geometry" spacegroup="No. 87" density_g_cm3=9.09 e_form_raw_ev_per_atom=-1.8547 pbc="T T T"
Ho 0.0000 0.0000 0.0000
Th 5.3620 1.7667 0.0000
Th 1.7667 3.6148 0.0000
Th 2.7217 0.8736 2.8403
Th -0.8736 2.7217 2.8403
S 2.6051 0.8972 0.0000
S 3.5912 -1.8833 2.8403
S 0.0000 0.0000 2.8403
S 0.8972 6.3717 0.0000
S 1.8833 3.5912 2.8403

***

16
Lattice="6.9337 0.0000 0.0000 0.0000 8.1499 0.0000 -2.3765 0.0000 6.4349" Properties=species:S:1:pos:R:3 comment="GGA-PBE HoTh3S4, optimized geometry" spacegroup="No. 13" density_g_cm3=9.04 e_form_raw_ev_per_atom=-1.8650 pbc="T T T"
Ho -0.5941 1.0109 1.6087
Ho -1.7823 7.1390 4.8262
Th -1.7823 3.0567 4.8262
Th -0.5941 5.0932 1.6087
Th 1.6845 1.0209 4.8262
Th 2.8727 3.0620 1.6087
Th 1.6845 5.0879 4.8262
Th 2.8727 7.1290 1.6087
S 1.6572 0.9720 0.0015
S 0.4690 7.1779 3.2190
S 0.5141 3.0024 3.1773
S -0.6741 5.1475 6.3948
S 5.2314 3.0024 0.0401
S 4.0431 5.1475 3.2576
S 4.0883 0.9720 3.2159
S 2.9000 7.1779 6.4334

***

4
Lattice="1.8311 1.0572 9.2578 -1.8311 1.0572 9.2578 0.0000 -2.1143 9.2578" Properties=species:S:1:pos:R:3 comment="GGA-PBE Ho2ThS, optimized geometry" spacegroup="No. 166" density_g_cm3=9.17 e_form_raw_ev_per_atom=-0.9412 pbc="T T T"
Ho 0.0000 0.0000 6.3880
Ho 0.0000 0.0000 21.3854
Th 0.0000 0.0000 0.0000
S 0.0000 0.0000 13.8867

***

18
Lattice="6.4422 0.0000 0.0000 0.0000 6.4422 0.0000 0.0000 0.0000 12.6391" Properties=species:S:1:pos:R:3 comment="GGA-PBE HoTh2S6, optimized geometry" spacegroup="No. 136" density_g_cm3=5.20 e_form_raw_ev_per_atom=-1.6882 pbc="T T T"
Ho 0.0000 0.0000 0.0000
Ho 3.2211 3.2211 6.3195
Th 0.0000 0.0000 4.1901
Th 0.0000 0.0000 8.4490
Th 3.2211 3.2211 2.1294
Th 3.2211 3.2211 10.5096
S 1.2594 1.2594 2.0519
S 1.2594 1.2594 10.5872
S 1.2739 1.2739 6.3195
S 1.9472 4.4950 0.0000
S 1.9617 4.4806 4.2676
S 1.9617 4.4806 8.3715
S 4.4806 1.9617 4.2676
S 4.4806 1.9617 8.3715
S 4.4950 1.9472 0.0000
S 5.1684 5.1684 6.3195
S 5.1828 5.1828 2.0519
S 5.1828 5.1828 10.5872